Entry 1:
Entry from Alexandria via LeMat-Bulk: a PBEsol-optimized structure of HgAs2P (SCAN).

Computed properties:
Raw total energy   -29.444 eV/atom
Space group   P4/mmm, No. 123

abc: 5.379 5.379 2.719
angles: 90.00 90.00 90.00
Fractional coordinates of all 4 atoms:
Hg1 0.000 0.000 0.000
As1 0.000 0.500 0.000
As2 0.500 0.000 0.000
P1 0.500 0.500 0.000


Entry 2:
Entry from Alexandria via LeMat-Bulk: a PBEsol-optimized structure of Hg2AsPb (SCAN).

Computed properties:
Raw total energy   -57.952 eV/atom
Space group   R-3m, No. 166

abc: 4.236 4.236 19.285
angles: 90.00 90.00 120.00
Fractional coordinates of all 12 atoms:
Hg1 0.000 0.000 0.237
Hg2 0.000 0.000 0.763
Hg3 0.333 0.667 0.430
Hg4 0.333 0.667 0.904
Hg5 0.667 0.333 0.096
Hg6 0.667 0.333 0.570
As1 0.000 0.000 0.500
As2 0.333 0.667 0.167
As3 0.667 0.333 0.833
Pb1 0.000 0.000 0.000
Pb2 0.333 0.667 0.667
Pb3 0.667 0.333 0.333


Entry 3:
Entry from Alexandria via LeMat-Bulk: a PBEsol-optimized structure of Hg2AsPb (SCAN).

Computed properties:
Raw total energy   -57.954 eV/atom
Space group   Imm2, No. 44

abc: 3.853 4.164 12.326
angles: 90.00 90.00 90.00
Fractional coordinates of all 8 atoms:
Hg1 0.000 0.000 0.000
Hg2 0.000 0.500 0.184
Hg3 0.500 0.000 0.684
Hg4 0.500 0.500 0.500
As1 0.000 0.000 0.482
As2 0.500 0.500 0.982
Pb1 0.000 0.500 0.793
Pb2 0.500 0.000 0.293


> The highest raw total energy belongs to which entry?

HgAs2P


> Look up the raw total energy of the second one.

-57.952 eV/atom